No. 1
! CeLuC, optimized geometry, DFT PBE; values from VASP
! - Polymorph energy (0 for the lowest one): 365 meV/atom
! - DOS(E_F): 1.2309 states/eV per atom
! - Space-group type: I4mm (107)
&SYSTEM
  ibrav = 0, nat = 3, ntyp = 3
/
ATOMIC_SPECIES
Lu 174.97 Lu.upf
Ce 140.12 Ce.upf
C 12.01 C.upf
ATOMIC_POSITIONS angstrom
Lu 1.564 1.564 2.606
Ce 1.564 1.564 5.331
C 0.000 0.000 3.900
CELL_PARAMETERS angstrom
3.128 0.000 0.000
0.000 3.128 0.000
-1.564 -1.564 5.918


No. 2
! LaSmTm2As4, optimized geometry, DFT PBE; values from VASP
! - Total DFT energy (no corrections): -6.163 eV per atom
! - DOS(E_F): 0.1170 states/eV per atom
! - Space-group type: P2/m (10)
&SYSTEM
  ibrav = 0, nat = 8, ntyp = 4
/
ATOMIC_SPECIES
Tm 168.93 Tm.upf
As 74.92 As.upf
La 138.91 La.upf
Sm 150.36 Sm.upf
ATOMIC_POSITIONS angstrom
Tm 2.093 1.274 3.391
As 0.000 7.417 4.977
As 2.093 6.144 1.533
La 0.000 4.889 3.322
As 4.185 2.360 1.667
Sm 2.093 3.615 -0.070
As 2.093 3.633 5.110
Tm 0.000 2.547 6.783
CELL_PARAMETERS angstrom
4.185 0.000 0.000
0.000 7.230 -0.139
0.000 2.547 6.783